RbGaPb (PBE, optimized geometry); space-group type = P3m1; formation enthalpy at 0 K = -0.1012 eV/atom
1.0
-2.576 -1.462 5.155
-2.500 -3.398 -2.213
4.272 -1.009 1.849
Rb Ga Pb
1 1 1
Direct
0.673 0.667 0.333
0.132 0.000 0.000
0.195 0.333 0.667

Nd2Tm3Sn4 (PBE, optimized geometry); space-group type = P2_1/c; energy above the most stable polymorph in this dataset = 0.000 eV/f.u.; formation enthalpy at 0 K = -0.7768 eV/atom
1.0
7.996 -0.147 0.000
-2.766 7.801 0.000
0.000 0.000 8.266
Sn Nd Tm
8 4 6
Direct
0.637 0.510 0.635
0.158 0.917 0.460
0.363 0.490 0.365
0.342 0.083 0.960
0.137 0.510 0.865
0.863 0.490 0.135
0.842 0.083 0.540
0.658 0.917 0.040
0.562 0.192 0.323
0.062 0.192 0.177
0.438 0.808 0.677
0.938 0.808 0.823
0.241 0.247 0.667
0.759 0.753 0.333
0.000 0.500 0.500
0.500 0.500 0.000
0.259 0.753 0.167
0.741 0.247 0.833

Sb3Mo (PBE, optimized geometry); space-group type = I4/mmm; energy above the most stable polymorph in this dataset = 1.506 eV/f.u.; formation energy from raw total energies = 0.535 eV/atom
1.0
-2.091 2.091 11.558
2.091 -2.091 11.558
2.091 2.091 -11.558
Sb Mo
6 2
Direct
0.250 0.750 0.500
0.500 0.000 0.500
0.750 0.250 0.500
0.000 0.500 0.500
0.878 0.878 0.000
0.122 0.122 0.000
0.329 0.329 0.000
0.671 0.671 0.000

TbGe2Os (PBE, optimized geometry); space-group type = Immm; formation enthalpy at 0 K = -0.5062 eV/atom
1.0
-2.990 -0.786 -2.950
3.671 -8.150 -1.550
-5.074 1.260 7.902
Ge Os Tb
8 4 4
Direct
0.701 0.041 0.403
0.299 0.959 0.597
0.079 0.579 0.157
0.920 0.920 0.839
0.080 0.080 0.161
0.299 0.639 0.597
0.701 0.361 0.403
0.921 0.421 0.843
0.142 0.893 0.285
0.858 0.608 0.715
0.858 0.107 0.715
0.142 0.392 0.285
0.500 0.742 0.000
0.500 0.258 0.000
0.709 0.709 0.418
0.291 0.291 0.582